The following is a PBE calculation of a relaxed NaSrTmIn crystal, from Alexandria via LeMat-Bulk.

Energy of formation from the pure elements, eV/atom: -0.089
Size of the total moment, μB/cell: 0.000
Density of states at the Fermi level, states/eV per cell: 13.603
E, eV per atom: -2.642

Unit cell a=7.9315 b=7.9315 c=7.9315 alpha=90.00 beta=90.00 gamma=90.00
Last column: nearest neighbours and their distance in Å.
Space group F-43m (No. 216)
Unique sites:
Na 0.0000 0.0000 0.0000 x4  4 Tm 3.43, 4 Sr 3.43
Sr 0.2500 0.2500 0.2500 x4  4 In 3.43, 4 Na 3.43
Tm 0.2500 0.2500 0.7500 x4  4 In 3.43, 4 Na 3.43
In 0.0000 0.0000 0.5000 x4  4 Tm 3.43, 4 Sr 3.43